(1)
{
  "formula": "TiMo5W6",
  "functional": "PBE",
  "state": "relaxed",
  "lattice": [[0.1113, 1.3551, -4.2789], [6.3348, -0.2040, 0.1001], [-3.3973, -6.9845, 0.0552]],
  "species": ["Mo", "Mo", "Mo", "Mo", "Mo", "W", "W", "W", "W", "W", "W", "Ti"],
  "frac_coords": [[0.6662, 0.1662, 0.3324], [0.3335, 0.3335, 0.6670], [0.0000, 0.5000, 0.0000], [0.6665, 0.6665, 0.3330], [0.3338, 0.8338, 0.6676], [0.8327, 0.5824, 0.6653], [0.8327, 0.0829, 0.6653], [0.5000, 0.7491, 0.0000], [0.5000, 0.2509, 0.0000], [0.1673, 0.9171, 0.3347], [0.1673, 0.4176, 0.3347], [0.0000, 0.0000, 0.0000]],
  "formation_enthalpy_0k_ev_per_atom": -0.062,
  "magmom_total_mub_per_fu": 0.0,
  "vol_a3_per_atom": 15.953,
  "e_tot_ev_per_atom": -11.7093,
  "rho_g_cm3": 14.14
}

=====

(2)
{
  "formula": "Pr2Dy3Er5",
  "functional": "PBE",
  "state": "relaxed",
  "lattice": [[6.7698, 0.0000, 0.0000], [3.3849, 11.4687, 2.8349], [3.3849, 5.7767, 10.3053]],
  "species": ["Pr", "Pr", "Pr", "Pr", "Dy", "Dy", "Dy", "Dy", "Dy", "Dy", "Er", "Er", "Er", "Er", "Er", "Er", "Er", "Er", "Er", "Er"],
  "frac_coords": [[0.1253, 0.7698, 0.9796], [0.8747, 0.2302, 0.0204], [0.6253, 0.9796, 0.7698], [0.3747, 0.0204, 0.2302], [0.2500, 0.0000, 0.0000], [0.7500, 0.0000, 0.0000], [0.3735, 0.3778, 0.8753], [0.6265, 0.6222, 0.1247], [0.8735, 0.8753, 0.3778], [0.1265, 0.1247, 0.6222], [0.2500, 0.5000, 0.5000], [0.7500, 0.5000, 0.5000], [0.5019, 0.7481, 0.7481], [0.9981, 0.2519, 0.2519], [0.4981, 0.2519, 0.2519], [0.0019, 0.7481, 0.7481], [0.1246, 0.4610, 0.2899], [0.8754, 0.5390, 0.7101], [0.6246, 0.2899, 0.4610], [0.3754, 0.7101, 0.5390]],
  "formation_enthalpy_0k_ev_per_atom": 0.416,
  "e_above_lowest_polymorph_mev_per_atom": 223,
  "magmom_total_mub_per_fu": 0.0,
  "vol_a3_per_atom": 34.462,
  "e_tot_ev_per_atom": -4.2017,
  "rho_g_cm3": 7.74
}

=====

(3)
{
  "formula": "CsNaSmCl5",
  "functional": "PBE",
  "state": "relaxed",
  "lattice": [[-7.1041, -3.6810, 0.6838], [5.6959, -5.5090, -1.3013], [1.9607, 2.9930, 9.8866]],
  "species": ["Cs", "Cs", "Na", "Na", "Sm", "Sm", "Cl", "Cl", "Cl", "Cl", "Cl", "Cl", "Cl", "Cl", "Cl", "Cl"],
  "frac_coords": [[0.3352, 0.6648, 0.2500], [0.6648, 0.3352, 0.7500], [0.6879, 0.3121, 0.2500], [0.3121, 0.6879, 0.7500], [0.0000, 0.0000, 0.5000], [0.0000, 0.0000, 0.0000], [0.0608, 0.9392, 0.2500], [0.9392, 0.0608, 0.7500], [0.8992, 0.2855, 0.0848], [0.1008, 0.7145, 0.9152], [0.7145, 0.1008, 0.4152], [0.2855, 0.8992, 0.5848], [0.7571, 0.6456, 0.4262], [0.2429, 0.3544, 0.5738], [0.3544, 0.2429, 0.0738], [0.6456, 0.7571, 0.9262]],
  "e_form_raw_mev_per_atom": -2107,
  "magmom_total_mub_per_fu": 0.0,
  "vol_a3_per_atom": 37.186,
  "e_tot_ev_per_atom": -4.1229,
  "rho_g_cm3": 2.70
}